[1]
This record from the Alexandria database describes a relaxed structure of Na6Cd. The functional is PBE.

abc: 7.820 7.820 7.820
angles: 109.47 109.47 109.47
Element x y z (fractional)
Na: 0.250 0.500 0.750
Na: 0.250 0.750 0.500
Na: 0.500 0.250 0.750
Na: 0.500 0.750 0.250
Na: 0.750 0.250 0.500
Na: 0.750 0.500 0.250
Cd: 0.000 0.000 0.000

Summary:
The theoretical density comes out at 1.13 g/cm³. For the energy, the calculation gives -0.88 eV per atom. The polymorph energy (0 for the lowest one) is 9.13 kcal/mol of atoms. Its formation enthalpy at 0 K is 0.380 eV per atom.

---

[2]
This record from the Alexandria database describes a relaxed structure of Ba2TaS2. The functional is PBE.

abc: 6.947 6.947 6.947
angles: 130.91 130.91 71.96
Element x y z (fractional)
Ba: 0.171 0.171 0.000
Ba: 0.829 0.829 0.000
Ta: 0.500 0.500 0.000
S: 0.250 0.750 0.500
S: 0.750 0.250 0.500

Summary:
The theoretical density comes out at 4.61 g/cm³. As for the formation energy from raw total energies: 0.091 eV per atom. For the energy, the calculation gives -4.70 eV per atom. The polymorph energy (0 for the lowest one) is 4.97 kcal/mol of atoms.

---

[3]
This record from the Alexandria database describes a relaxed structure of ZnCo2Pt. The functional is PBE.

abc: 4.993 4.993 4.993
angles: 146.57 130.13 61.37
Element x y z (fractional)
Zn: 0.000 0.000 0.000
Co: 0.243 0.743 0.500
Co: 0.757 0.257 0.500
Pt: 0.500 0.500 0.000

Summary:
The theoretical density comes out at 12.10 g/cm³. For the energy, the calculation gives -5.43 eV per atom. Its formation enthalpy at 0 K is -0.048 eV per atom.

---

[4]
This record from the Alexandria database describes a relaxed structure of YSeBrN2. The functional is PBE.

abc: 4.158 4.158 5.036
angles: 90.00 90.00 90.00
Element x y z (fractional)
Y: 0.000 0.000 0.000
Se: 0.500 0.500 0.000
Br: 0.500 0.500 0.500
N: 0.000 0.500 0.500
N: 0.500 0.000 0.500

Summary:
The theoretical density comes out at 5.26 g/cm³. As for the formation energy from raw total energies: 1.087 eV per atom. For the energy, the calculation gives -4.57 eV per atom. The polymorph energy (0 for the lowest one) is 6.67 kcal/mol of atoms.

---

Please write out number 2 again, unchanged.
This record from the Alexandria database describes a relaxed structure of Ba2TaS2. The functional is PBE.

abc: 6.947 6.947 6.947
angles: 130.91 130.91 71.96
Element x y z (fractional)
Ba: 0.171 0.171 0.000
Ba: 0.829 0.829 0.000
Ta: 0.500 0.500 0.000
S: 0.250 0.750 0.500
S: 0.750 0.250 0.500

Summary:
The theoretical density comes out at 4.61 g/cm³. As for the formation energy from raw total energies: 0.091 eV per atom. For the energy, the calculation gives -4.70 eV per atom. The polymorph energy (0 for the lowest one) is 4.97 kcal/mol of atoms.

---

Which formula does entry 2 have?
Ba2TaS2

---

energy of number 1 (Na6Cd)?
-0.88 eV per atom